DFT (GGA-PBE) results for crystalline K3MgCr at its relaxed geometry.

Calculated values
For the relative energy among the computed polymorphs, the calculation gives 0.0 meV/atom.

abc: 6.6925 6.6925 6.6925
angles: 90.00 90.00 90.00
Space group Pm-3m (No. 221)
Unique sites:
K (0.0000, 0.0000, 0.5000) (multiplicity 3)
Mg (0.5000, 0.5000, 0.5000) (multiplicity 1)
Cr (0.0000, 0.0000, 0.0000) (multiplicity 1)

=====

DFT (GGA-PBE) results for crystalline KMg2CrNi at its relaxed geometry.

Calculated values
Its final energy is -17.7 eV for the cell shown.

abc: 5.0247 5.0247 4.8491
angles: 90.00 90.00 90.00
Space group P4/mmm (No. 123)
Unique sites:
K (0.0000, 0.0000, 0.0000) (multiplicity 1)
Mg (0.0000, 0.5000, 0.5000) (multiplicity 2)
Cr (0.5000, 0.5000, 0.0000) (multiplicity 1)
Ni (0.5000, 0.5000, 0.5000) (multiplicity 1)

=====

Calculated spin magnetization (μB per formula unit), listed in the same order as above: 5.874, 4.049